Record 1
Below is crystalline ScSi2Ni at its relaxed geometry, with properties calculated at the PBEsol level. Values from VASP.

Calculated values
N(E_F) = 0.628 states/eV/atom
total DFT energy (no corrections) = -6.56 eV/atom
M_tot = 0.001 μB/f.u.
density = 4.8 g/cm³

Cell and atoms, written as Quantum ESPRESSO input:
```
&SYSTEM
  ibrav = 0, nat = 4, ntyp = 3
/
ATOMIC_SPECIES
Sc 44.96 Sc.upf
Si 28.09 Si.upf
Ni 58.69 Ni.upf
CELL_PARAMETERS angstrom
2.863 0.000 0.000
0.000 2.885 0.000
0.000 0.000 6.640
ATOMIC_POSITIONS crystal
Sc 0.000 0.000 0.000
Si 0.500 0.500 0.295
Si 0.500 0.500 0.705
Ni 0.000 0.000 0.500
```


Record 2
Below is crystalline ScSi2Ni at its relaxed geometry, with properties calculated at the PBEsol level. Values from VASP.

Calculated values
N(E_F) = 0.381 states/eV/atom
total DFT energy (no corrections) = -6.83 eV/atom
M_tot = 0.000 μB/f.u.
density = 4.5 g/cm³

Cell and atoms, written as Quantum ESPRESSO input:
```
&SYSTEM
  ibrav = 0, nat = 4, ntyp = 3
/
ATOMIC_SPECIES
Sc 44.96 Sc.upf
Si 28.09 Si.upf
Ni 58.69 Ni.upf
CELL_PARAMETERS angstrom
1.900 1.097 4.673
-1.900 1.097 4.673
0.000 -2.194 4.673
ATOMIC_POSITIONS crystal
Sc 0.000 0.000 0.000
Si 0.216 0.216 0.216
Si 0.784 0.784 0.784
Ni 0.500 0.500 0.500
```


Record 3
Below is crystalline Sc3Si4Ni11 at its relaxed geometry, with properties calculated at the PBEsol level. Values from VASP.

Calculated values
N(E_F) = 0.830 states/eV/atom
total DFT energy (no corrections) = -6.80 eV/atom
M_tot = 0.001 μB/f.u.
density = 6.8 g/cm³

Cell and atoms, written as Quantum ESPRESSO input:
```
&SYSTEM
  ibrav = 0, nat = 36, ntyp = 3
/
ATOMIC_SPECIES
Sc 44.96 Sc.upf
Si 28.09 Si.upf
Ni 58.69 Ni.upf
CELL_PARAMETERS angstrom
7.846 0.000 0.000
-3.923 6.795 0.000
0.000 0.000 8.226
ATOMIC_POSITIONS crystal
Sc 0.198 0.395 0.250
Sc 0.198 0.802 0.250
Sc 0.395 0.198 0.750
Sc 0.605 0.802 0.250
Sc 0.802 0.198 0.750
Sc 0.802 0.605 0.750
Si 0.000 0.000 0.250
Si 0.000 0.000 0.750
Si 0.000 0.500 0.000
Si 0.000 0.500 0.500
Si 0.500 0.000 0.000
Si 0.500 0.000 0.500
Si 0.500 0.500 0.000
Si 0.500 0.500 0.500
Ni 0.123 0.562 0.750
Ni 0.153 0.306 0.593
Ni 0.153 0.306 0.907
Ni 0.153 0.847 0.593
Ni 0.153 0.847 0.907
Ni 0.306 0.153 0.093
Ni 0.306 0.153 0.407
Ni 0.333 0.667 0.003
Ni 0.333 0.667 0.497
Ni 0.438 0.562 0.750
Ni 0.438 0.877 0.750
Ni 0.562 0.123 0.250
Ni 0.562 0.438 0.250
Ni 0.667 0.333 0.503
Ni 0.667 0.333 0.997
Ni 0.694 0.847 0.593
Ni 0.694 0.847 0.907
Ni 0.847 0.153 0.093
Ni 0.847 0.153 0.407
Ni 0.847 0.694 0.093
Ni 0.847 0.694 0.407
Ni 0.877 0.438 0.250
```


Record 4
Below is crystalline ScSi2Ni2 at its relaxed geometry, with properties calculated at the PBEsol level. Values from VASP.

Calculated values
N(E_F) = 0.802 states/eV/atom
total DFT energy (no corrections) = -6.94 eV/atom
M_tot = 0.001 μB/f.u.
density = 5.4 g/cm³

Cell and atoms, written as Quantum ESPRESSO input:
```
&SYSTEM
  ibrav = 0, nat = 5, ntyp = 3
/
ATOMIC_SPECIES
Sc 44.96 Sc.upf
Si 28.09 Si.upf
Ni 58.69 Ni.upf
CELL_PARAMETERS angstrom
-1.882 1.882 4.774
1.882 -1.882 4.774
1.882 1.882 -4.774
ATOMIC_POSITIONS crystal
Sc 0.000 0.000 0.000
Si 0.379 0.379 0.000
Si 0.621 0.621 0.000
Ni 0.250 0.750 0.500
Ni 0.750 0.250 0.500
```


Record 5
Below is crystalline ScNiSn2 at its relaxed geometry, with properties calculated at the PBEsol level. Values from VASP.

Calculated values
N(E_F) = 0.762 states/eV/atom
total DFT energy (no corrections) = -5.50 eV/atom
M_tot = 0.001 μB/f.u.
formation energy from the elements = -17.8 kJ/mol of atoms
density = 7.5 g/cm³

Cell and atoms, written as Quantum ESPRESSO input:
```
&SYSTEM
  ibrav = 0, nat = 4, ntyp = 3
/
ATOMIC_SPECIES
Sc 44.96 Sc.upf
Ni 58.69 Ni.upf
Sn 118.71 Sn.upf
CELL_PARAMETERS angstrom
0.000 3.353 3.353
3.353 0.000 3.353
3.353 3.353 0.000
ATOMIC_POSITIONS crystal
Sc 0.000 0.000 0.000
Ni 0.500 0.500 0.500
Sn 0.250 0.250 0.250
Sn 0.750 0.750 0.750
```


Record 6
Below is crystalline ScNiSn3 at its relaxed geometry, with properties calculated at the PBEsol level. Values from VASP.

Calculated values
N(E_F) = 1.724 states/eV/atom
total DFT energy (no corrections) = -4.13 eV/atom
M_tot = 0.985 μB/f.u.
formation energy from the elements = 94.5 kJ/mol of atoms
density = 5.0 g/cm³

Cell and atoms, written as Quantum ESPRESSO input:
```
&SYSTEM
  ibrav = 0, nat = 5, ntyp = 3
/
ATOMIC_SPECIES
Sc 44.96 Sc.upf
Ni 58.69 Ni.upf
Sn 118.71 Sn.upf
CELL_PARAMETERS angstrom
5.329 0.000 0.000
0.000 5.329 0.000
0.000 0.000 5.329
ATOMIC_POSITIONS crystal
Sc 0.000 0.000 0.000
Ni 0.500 0.500 0.500
Sn 0.000 0.000 0.500
Sn 0.000 0.500 0.000
Sn 0.500 0.000 0.000
```


Record 7
Below is crystalline Zr4ScNi5Sn5 at its relaxed geometry, with properties calculated at the PBEsol level. Values from VASP.

Calculated values
N(E_F) = 0.467 states/eV/atom
total DFT energy (no corrections) = -7.06 eV/atom
M_tot = 0.000 μB/f.u.
formation energy from the elements = -69.4 kJ/mol of atoms
density = 7.7 g/cm³

Cell and atoms, written as Quantum ESPRESSO input:
```
&SYSTEM
  ibrav = 0, nat = 15, ntyp = 4
/
ATOMIC_SPECIES
Zr 91.22 Zr.upf
Sc 44.96 Sc.upf
Ni 58.69 Ni.upf
Sn 118.71 Sn.upf
CELL_PARAMETERS angstrom
2.146 1.239 17.555
-2.146 1.239 17.555
0.000 -2.478 17.555
ATOMIC_POSITIONS crystal
Zr 0.000 0.000 0.000
Zr 0.200 0.200 0.200
Zr 0.400 0.400 0.400
Zr 0.600 0.600 0.600
Sc 0.801 0.801 0.801
Ni 0.050 0.050 0.050
Ni 0.250 0.250 0.250
Ni 0.449 0.449 0.449
Ni 0.650 0.650 0.650
Ni 0.851 0.851 0.851
Sn 0.100 0.100 0.100
Sn 0.300 0.300 0.300
Sn 0.500 0.500 0.500
Sn 0.700 0.700 0.700
Sn 0.900 0.900 0.900
```


Record 8
Below is crystalline SrScNi at its relaxed geometry, with properties calculated at the PBEsol level. Values from VASP.

Calculated values
N(E_F) = 1.261 states/eV/atom
total DFT energy (no corrections) = -4.78 eV/atom
M_tot = 0.000 μB/f.u.
formation energy from the elements = 8.5 kJ/mol of atoms
density = 3.9 g/cm³

Cell and atoms, written as Quantum ESPRESSO input:
```
&SYSTEM
  ibrav = 0, nat = 3, ntyp = 3
/
ATOMIC_SPECIES
Sr 87.62 Sr.upf
Sc 44.96 Sc.upf
Ni 58.69 Ni.upf
CELL_PARAMETERS angstrom
3.858 0.000 0.000
-1.929 3.341 0.000
0.000 0.000 6.301
ATOMIC_POSITIONS crystal
Sr 0.000 0.000 0.000
Sc 0.667 0.333 0.518
Ni 0.333 0.667 0.695
```


Record 9
Below is crystalline SrScNi at its relaxed geometry, with properties calculated at the PBEsol level. Values from VASP.

Calculated values
N(E_F) = 1.050 states/eV/atom
total DFT energy (no corrections) = -4.64 eV/atom
M_tot = 0.001 μB/f.u.
formation energy from the elements = 21.8 kJ/mol of atoms
density = 4.3 g/cm³

Cell and atoms, written as Quantum ESPRESSO input:
```
&SYSTEM
  ibrav = 0, nat = 3, ntyp = 3
/
ATOMIC_SPECIES
Sr 87.62 Sr.upf
Sc 44.96 Sc.upf
Ni 58.69 Ni.upf
CELL_PARAMETERS angstrom
0.000 3.333 3.333
3.333 0.000 3.333
3.333 3.333 0.000
ATOMIC_POSITIONS crystal
Sr 0.000 0.000 0.000
Sc 0.500 0.500 0.500
Ni 0.750 0.750 0.750
```


Record 10
Below is crystalline SrSc3Ni at its relaxed geometry, with properties calculated at the PBEsol level. Values from VASP.

Calculated values
N(E_F) = 1.404 states/eV/atom
total DFT energy (no corrections) = -5.58 eV/atom
M_tot = 0.001 μB/f.u.
formation energy from the elements = -1.9 kJ/mol of atoms
density = 3.7 g/cm³

Cell and atoms, written as Quantum ESPRESSO input:
```
&SYSTEM
  ibrav = 0, nat = 5, ntyp = 3
/
ATOMIC_SPECIES
Sr 87.62 Sr.upf
Sc 44.96 Sc.upf
Ni 58.69 Ni.upf
CELL_PARAMETERS angstrom
5.021 0.000 0.000
0.000 5.021 0.000
0.000 0.000 5.021
ATOMIC_POSITIONS crystal
Sr 0.000 0.000 0.000
Sc 0.000 0.500 0.500
Sc 0.500 0.000 0.500
Sc 0.500 0.500 0.000
Ni 0.500 0.500 0.500
```


Record 11
Below is crystalline SrScNi2 at its relaxed geometry, with properties calculated at the PBEsol level. Values from VASP.

Calculated values
N(E_F) = 1.378 states/eV/atom
total DFT energy (no corrections) = -4.86 eV/atom
M_tot = 0.000 μB/f.u.
formation energy from the elements = 31.8 kJ/mol of atoms
density = 6.2 g/cm³

Cell and atoms, written as Quantum ESPRESSO input:
```
&SYSTEM
  ibrav = 0, nat = 4, ntyp = 3
/
ATOMIC_SPECIES
Sr 87.62 Sr.upf
Sc 44.96 Sc.upf
Ni 58.69 Ni.upf
CELL_PARAMETERS angstrom
0.000 3.231 3.231
3.231 0.000 3.231
3.231 3.231 0.000
ATOMIC_POSITIONS crystal
Sr 0.000 0.000 0.000
Sc 0.250 0.250 0.250
Ni 0.500 0.500 0.500
Ni 0.750 0.750 0.750
```


Record 12
Below is crystalline SrScNi2 at its relaxed geometry, with properties calculated at the PBEsol level. Values from VASP.

Calculated values
N(E_F) = 0.634 states/eV/atom
total DFT energy (no corrections) = -4.92 eV/atom
M_tot = 0.000 μB/f.u.
formation energy from the elements = 26.3 kJ/mol of atoms
density = 5.4 g/cm³

Cell and atoms, written as Quantum ESPRESSO input:
```
&SYSTEM
  ibrav = 0, nat = 4, ntyp = 3
/
ATOMIC_SPECIES
Sr 87.62 Sr.upf
Sc 44.96 Sc.upf
Ni 58.69 Ni.upf
CELL_PARAMETERS angstrom
3.041 0.000 0.000
0.000 4.709 0.000
0.000 0.000 5.329
ATOMIC_POSITIONS crystal
Sr 0.000 0.000 0.000
Sc 0.500 0.500 0.500
Ni 0.000 0.000 0.500
Ni 0.500 0.500 0.000
```